The following is a DFT calculation (PBE) of crystalline La2TcTe at its relaxed geometry.

```
La2TcTe
1.0
4.242 0.000 0.000
0.000 4.578 0.000
0.000 0.000 6.449
La Tc Te
2 1 1
Direct
0.000 0.000 0.000 La
0.500 0.500 0.381 La
0.000 0.000 0.367 Tc
0.500 0.500 0.878 Te
```

Results
- Formation energy (no corrections): -0.451 eV per atom
- Space group: Pmm2, No. 25


The following is a DFT calculation (PBE) of crystalline La2TcTe at its relaxed geometry.

```
La2TcTe
1.0
-2.235 2.798 4.323
2.235 -2.798 4.323
2.235 2.798 -4.323
La Tc Te
2 1 1
Direct
0.211 0.211 0.000 La
0.789 0.789 0.000 La
0.000 0.500 0.500 Tc
0.500 0.000 0.500 Te
```

Results
- Formation energy (no corrections): -0.313 eV per atom
- Space group: Immm, No. 71


The following is a DFT calculation (PBE) of crystalline La2TcTe at its relaxed geometry.

```
La2TcTe
1.0
5.277 0.000 0.000
0.000 5.277 0.000
0.000 0.000 3.870
La Tc Te
2 1 1
Direct
0.000 0.500 0.000 La
0.500 0.000 0.000 La
0.000 0.000 0.500 Tc
0.500 0.500 0.500 Te
```

Results
- Formation energy (no corrections): -0.364 eV per atom
- Space group: P4/mmm, No. 123


The following is a DFT calculation (PBE) of crystalline La2TcTe at its relaxed geometry.

```
La2TcTe
1.0
0.000 3.793 3.793
3.793 0.000 3.793
3.793 3.793 0.000
La Tc Te
2 1 1
Direct
0.250 0.250 0.250 La
0.750 0.750 0.750 La
0.000 0.000 0.000 Tc
0.500 0.500 0.500 Te
```

Results
- Formation energy (no corrections): -0.265 eV per atom
- Space group: Fm-3m, No. 225